DFT (PBEsol) results for a geometry-optimized Ag7Pt4 structure.

Properties
* polymorph energy (0 for the lowest one): 14 meV per atom
* calculated density: 14.6 g cm⁻³
* E_tot: -4.62 eV per atom
* V: 174.3 Å³/cell
* total magnetic moment: 0.0 μB per formula unit
* formation enthalpy at 0 K: 18 meV per atom
* space-group type: P-1

Unit cell a=4.832 b=4.918 c=7.483 alpha=90.13 beta=95.68 gamma=99.95
Fractional coordinates of all 11 atoms:
Ag  0.000  0.000  0.000
Ag  0.181  0.366  0.723
Ag  0.275  0.546  0.093
Ag  0.363  0.729  0.458
Ag  0.637  0.271  0.542
Ag  0.725  0.454  0.907
Ag  0.819  0.634  0.277
Pt  0.088  0.173  0.357
Pt  0.455  0.909  0.820
Pt  0.545  0.091  0.180
Pt  0.912  0.827  0.643